{"formula": "TaCoBOs", "functional": "GGA-PBE", "state": "relaxed", "lattice": [[0.0000, 2.9414, 2.9414], [2.9414, 0.0000, 2.9414], [2.9414, 2.9414, 0.0000]], "species": ["Co", "Ta", "B", "Os"], "frac_coords": [[0.7500, 0.7500, 0.7500], [0.5000, 0.5000, 0.5000], [0.0000, 0.0000, 0.0000], [0.2500, 0.2500, 0.2500]], "relative_energy_ev_per_atom": 0.000, "e_tot_ev_per_atom": -8.9601, "magnetic_moment_mub_per_fu": 0.999, "sg": "No. 216"}